(1)
Computed, not measured: a geometry-optimized RuW4 structure at the PBE level of DFT.

a b c (Å): 7.065 7.065 3.169
angles (deg): 90.00 90.00 90.00
Space group I4/m (No. 87)
Unique sites:
Ru 0.000 0.000 0.000 x2
W 0.106 0.304 0.500 x8

The value obtained for the formation energy from the elements is 0.120 eV per atom. The offset from the most stable computed form is 0.000 kcal/mol of atoms.



(2)
Computed, not measured: a geometry-optimized KBaSbI structure at the PBE level of DFT.

a b c (Å): 8.600 8.600 8.600
angles (deg): 90.00 90.00 90.00
Space group F-43m (No. 216)
Unique sites:
K 0.000 0.000 0.000 x4
Ba 0.000 0.000 0.500 x4
Sb 0.250 0.250 0.250 x4
I 0.250 0.250 0.750 x4



For reference, uncorrected energy by record: -60.486, -12.243 eV per formula unit.